Material: Hf4AlSe
Method: DFT, GGA-PBE
State: optimized geometry

* ρ: 10.39 Mg/m³
* calculated total energy: -8.121 eV per atom
* crystal system: orthorhombic
* D(E_F): 5.29 states/eV/f.u.

Lattice parameters (Å, degrees): 4.908 18.953 5.637 90.00 90.00 90.00
Space group Cmcm (No. 63)
Inequivalent atoms, fractional coordinates:
Hf (0.000, 0.065, 0.250)
Hf (0.000, 0.205, 0.501)
Hf (0.000, 0.375, 0.250)
Al (0.000, 0.346, 0.750)
Se (0.000, 0.075, 0.750)


Material: Hf2Al2Se
Method: DFT, GGA-PBE
State: optimized geometry

* ρ: 7.98 Mg/m³
* calculated total energy: -6.605 eV per atom
* crystal system: tetragonal
* D(E_F): 1.77 states/eV/f.u.

Lattice parameters (Å, degrees): 6.982 6.982 4.181 90.00 90.00 90.00
Space group P4/mbm (No. 127)
Inequivalent atoms, fractional coordinates:
Hf (0.167, 0.333, 0.000)
Al (0.132, 0.632, 0.500)
Se (0.000, 0.000, 0.000)


Material: HfAlSiSe2
Method: DFT, GGA-PBE
State: optimized geometry

* ρ: 4.61 Mg/m³
* calculated total energy: -4.820 eV per atom
* crystal system: tetragonal
* D(E_F): 4.83 states/eV/f.u.

Lattice parameters (Å, degrees): 5.089 5.089 5.446 90.00 90.00 90.00
Space group P4/mmm (No. 123)
Inequivalent atoms, fractional coordinates:
Hf (0.000, 0.000, 0.000)
Al (0.000, 0.000, 0.500)
Si (0.500, 0.500, 0.500)
Se (0.000, 0.500, 0.000)


Material: SrHfAlSe2
Method: DFT, GGA-PBE
State: optimized geometry

* ρ: 3.87 Mg/m³
* calculated total energy: -3.482 eV per atom
* crystal system: tetragonal
* D(E_F): 5.29 states/eV/f.u.

Lattice parameters (Å, degrees): 5.607 5.607 6.154 90.00 90.00 90.00
Space group P4/mmm (No. 123)
Inequivalent atoms, fractional coordinates:
Sr (0.000, 0.000, 0.000)
Hf (0.000, 0.000, 0.500)
Al (0.500, 0.500, 0.500)
Se (0.000, 0.500, 0.000)


Material: Hf8Al2Si
Method: DFT, GGA-PBE
State: optimized geometry

* ρ: 10.89 Mg/m³
* calculated total energy: -8.483 eV per atom
* crystal system: monoclinic
* D(E_F): 11.11 states/eV/f.u.

Lattice parameters (Å, degrees): 8.006 12.760 5.391 90.00 123.24 90.00
Space group C2/m (No. 12)
Inequivalent atoms, fractional coordinates:
Hf (0.000, 0.219, 0.000)
Hf (0.118, 0.500, 0.832)
Hf (0.209, 0.114, 0.566)
Al (0.000, 0.303, 0.500)
Si (0.000, 0.000, 0.000)


Material: Hf2Al2Si
Method: DFT, GGA-PBE
State: optimized geometry

* ρ: 8.15 Mg/m³
* crystal system: tetragonal
* D(E_F): 2.58 states/eV/f.u.
* ΔE to the lowest computed polymorph: 0 meV per atom

Lattice parameters (Å, degrees): 6.606 6.606 4.101 90.00 90.00 90.00
Space group P4/mbm (No. 127)
Inequivalent atoms, fractional coordinates:
Hf (0.172, 0.328, 0.000)
Al (0.133, 0.633, 0.500)
Si (0.000, 0.000, 0.500)


Material: Hf2AlSi
Method: DFT, GGA-PBE
State: optimized geometry

* ρ: 8.52 Mg/m³
* crystal system: trigonal
* D(E_F): 2.08 states/eV/f.u.
* ΔE to the lowest computed polymorph: 366 meV per atom

Lattice parameters (Å, degrees): 3.6244 3.6244 21.1847 90.00 90.00 120.00
Space group R-3m (No. 166, hexagonal axes)
Inequivalent atoms, fractional coordinates:
Hf (0.0000, 0.0000, 0.2417)
Al (0.0000, 0.0000, 0.0000)
Si (0.0000, 0.0000, 0.5000)


Material: HfAl3Si
Method: DFT, GGA-PBE
State: optimized geometry

* ρ: 4.63 Mg/m³
* crystal system: cubic
* D(E_F): 3.77 states/eV/f.u.
* ΔE to the lowest computed polymorph: 0 meV per atom

Lattice parameters (Å, degrees): 4.690 4.690 4.690 90.00 90.00 90.00
Space group Pm-3m (No. 221)
Inequivalent atoms, fractional coordinates:
Hf (0.000, 0.000, 0.000)
Al (0.000, 0.500, 0.500)
Si (0.500, 0.500, 0.500)


Material: Hf2AlSi
Method: DFT, GGA-PBE
State: optimized geometry

* ρ: 9.39 Mg/m³
* crystal system: monoclinic
* D(E_F): 2.26 states/eV/f.u.
* ΔE to the lowest computed polymorph: 2 meV per atom

Lattice parameters (Å, degrees): 5.387 3.797 7.601 90.00 110.40 90.00
Space group P2_1/m (No. 11)
Inequivalent atoms, fractional coordinates:
Hf (0.202, 0.250, 0.421)
Hf (0.269, 0.750, 0.068)
Al (0.378, 0.750, 0.711)
Si (0.139, 0.250, 0.792)


Material: HfAl3Si
Method: DFT, GGA-PBE
State: optimized geometry

* ρ: 3.42 Mg/m³
* crystal system: cubic
* D(E_F): 5.34 states/eV/f.u.
* ΔE to the lowest computed polymorph: 608 meV per atom

Lattice parameters (Å, degrees): 5.189 5.189 5.189 90.00 90.00 90.00
Space group Pm-3m (No. 221)
Inequivalent atoms, fractional coordinates:
Hf (0.000, 0.000, 0.000)
Al (0.000, 0.000, 0.500)
Si (0.500, 0.500, 0.500)


Material: Hf2Al2Si
Method: DFT, GGA-PBE
State: optimized geometry

* ρ: 7.32 Mg/m³
* crystal system: tetragonal
* D(E_F): 1.27 states/eV/f.u.
* ΔE to the lowest computed polymorph: 3 meV per atom

Lattice parameters (Å, degrees): 6.864 6.864 4.224 90.00 90.00 90.00
Space group P4/mbm (No. 127)
Inequivalent atoms, fractional coordinates:
Hf (0.161, 0.339, 0.000)
Al (0.141, 0.641, 0.500)
Si (0.000, 0.000, 0.000)


Material: Hf6Al3Si
Method: DFT, GGA-PBE
State: optimized geometry

* ρ: 9.65 Mg/m³
* calculated total energy: -7.831 eV per atom
* crystal system: monoclinic
* D(E_F): 6.86 states/eV/f.u.

Lattice parameters (Å, degrees): 5.449 7.732 11.050 90.00 119.27 90.00
Space group P2_1/c (No. 14)
Inequivalent atoms, fractional coordinates:
Hf (0.032, 0.166, 0.437)
Hf (0.353, 0.676, 0.437)
Hf (0.412, 0.037, 0.255)
Al (0.000, 0.000, 0.000)
Al (0.125, 0.121, 0.754)
Si (0.500, 0.000, 0.500)